Record 1
LaTl2Te PBE relaxed; distance to the lowest polymorph of the same formula = 0.2545 eV per atom
1.0
-0.2920 -2.4219 -3.6653
-2.7140 -2.7892 2.0592
-5.1017 3.5382 -1.9316
La Te Tl
1 1 2
Direct
0.5000 0.5000 0.2500
0.5000 0.5000 0.7500
0.0000 0.0000 0.9954
0.0000 0.0000 0.5046

Record 2
La2Tl2Te PBE relaxed; distance to the lowest polymorph of the same formula = 0.0000 eV per atom
1.0
-5.9604 -2.3150 -5.4364
4.4888 -6.7955 -2.0277
-2.2565 -2.5531 3.5611
Tl Te La
4 2 4
Direct
0.1387 0.6387 0.5000
0.6387 0.8613 0.5000
0.8613 0.3613 0.5000
0.3613 0.1387 0.5000
0.0000 0.0000 0.0000
0.5000 0.5000 0.0000
0.3361 0.8361 0.0000
0.8361 0.6639 0.0000
0.6639 0.1639 0.0000
0.1639 0.3361 0.0000

Record 3
Below is a relaxed LaTlTe2 crystal, with properties calculated at the PBE level.

```
LaTlTe2
1.0
8.5170 0.0262 0.0160
7.1709 4.5955 0.0160
7.1709 2.1125 4.0812
La Te Tl
1 2 1
Direct
0.7557 0.7557 0.7557
0.0257 0.0257 0.0257
0.2196 0.2196 0.2196
0.4990 0.4990 0.4990
```

| no. | spin magnetization (μB per cell) | formation energy from raw total energies (eV per atom) |
| --- | --- | --- |
| 1 | 0.00 | -0.38 |
| 2 | 0.00 | -0.64 |
| 3 | 0.00 | -0.75 |